{
  "formula": "PmAl2Ag2",
  "functional": "GGA-PBE",
  "state": "relaxed",
  "lattice": [[4.321, 0.000, 0.000], [0.000, 4.321, 0.000], [-2.160, -2.160, 11.161]],
  "species": ["Pm", "Al", "Al", "Al", "Ag", "Al", "Ag", "Ag", "Ag", "Pm"],
  "frac_coords": [[0.623, 0.623, 0.247], [0.000, 0.500, 0.000], [0.817, 0.817, 0.634], [0.183, 0.183, 0.366], [0.250, 0.750, 0.500], [0.500, 0.000, 0.000], [0.930, 0.930, 0.861], [0.070, 0.070, 0.139], [0.750, 0.250, 0.500], [0.377, 0.377, 0.753]],
  "total_magnetization_mub_per_cell": 0.00,
  "delta_e_f_ev_per_atom": -0.323,
  "dos_at_fermi_per_ev_atom": 0.5847,
  "total_energy_ev_per_atom": -3.91
}